Run A
VASP calculation (PBE) on crystalline Na5Cd2Au at its relaxed geometry.

Cell lengths 5.2265, 5.2265, 20.0538 Å; angles 90.00, 90.00, 120.00 degrees
Sites, in units of the cell vectors:
Au  0.6667  0.3333  0.7500
Au  0.3333  0.6667  0.2500
Na  0.6667  0.3333  0.2500
Na  0.0000  0.0000  0.6646
Na  0.3333  0.6667  0.9520
Na  0.6667  0.3333  0.0480
Na  0.3333  0.6667  0.5480
Na  0.6667  0.3333  0.4520
Na  0.3333  0.6667  0.7500
Na  0.0000  0.0000  0.1646
Na  0.0000  0.0000  0.3354
Na  0.0000  0.0000  0.8354
Cd  0.6667  0.3333  0.6121
Cd  0.3333  0.6667  0.3879
Cd  0.6667  0.3333  0.8879
Cd  0.3333  0.6667  0.1121

Calculated values
- calculated density (g/cm3) = 3.76
- space-group type = P6_3/mmc, No. 194
- M_tot (μB/cell) = 0.0
- crystal system = hexagonal

Run B
VASP calculation (PBE) on crystalline Na5Cd2Au at its relaxed geometry.

Cell lengths 5.0068, 6.5334, 13.0721 Å; angles 90.00, 90.00, 90.00 degrees
Sites, in units of the cell vectors:
Na  0.0000  0.9302  0.2707
Na  0.5000  0.3208  0.8985
Na  0.0000  0.5698  0.7707
Na  0.5000  0.1792  0.3985
Na  0.5000  0.6792  0.1015
Na  0.0000  0.5000  0.5000
Na  0.5000  0.8208  0.6015
Na  0.0000  0.0698  0.7293
Na  0.0000  0.0000  0.0000
Na  0.0000  0.4302  0.2293
Cd  0.5000  0.6794  0.3641
Cd  0.5000  0.3206  0.6359
Cd  0.5000  0.8206  0.8641
Cd  0.5000  0.1794  0.1359
Au  0.0000  0.0000  0.5000
Au  0.0000  0.5000  0.0000

Calculated values
- calculated density (g/cm3) = 4.17
- space-group type = Pbam, No. 55
- M_tot (μB/cell) = 0.0
- crystal system = orthorhombic

Which structure is the most stable? The one labeled run A.

Run A
VASP calculation (PBE) on crystalline Na2CdAu2 at its relaxed geometry.

Cell lengths 4.2887, 4.2887, 7.3240 Å; angles 72.98, 72.98, 90.00 degrees
Sites, in units of the cell vectors:
Au  0.3993  0.3993  0.2014
Au  0.6007  0.6007  0.7986
Na  0.2500  0.7500  0.5000
Na  0.7500  0.2500  0.5000
Cd  0.0000  0.0000  0.0000

Calculated values
- calculated density (g/cm3) = 7.48
- space-group type = I4/mmm, No. 139
- M_tot (μB/cell) = 0.0
- crystal system = tetragonal

Run B
VASP calculation (PBE) on crystalline Na2CdAu2 at its relaxed geometry.

Cell lengths 5.7304, 5.6527, 8.8283 Å; angles 103.15, 90.00, 120.46 degrees
Sites, in units of the cell vectors:
Au  0.2630  0.2632  0.5058
Au  0.9998  0.7368  0.9942
Au  0.0002  0.2632  0.0058
Au  0.7370  0.7368  0.4942
Na  0.7889  0.3032  0.6531
Na  0.4856  0.6968  0.8469
Na  0.5144  0.3032  0.1531
Na  0.2111  0.6968  0.3469
Cd  0.1630  0.0000  0.7500
Cd  0.8370  0.0000  0.2500

Calculated values
- calculated density (g/cm3) = 7.71
- space-group type = C2/c, No. 15
- M_tot (μB/cell) = 0.0
- crystal system = monoclinic

Which structure is the most stable? The one labeled run B.

Run A
VASP calculation (PBE) on crystalline Na2CdAu2 at its relaxed geometry.

Cell lengths 8.7025, 8.7025, 2.9172 Å; angles 90.00, 90.00, 90.00 degrees
Sites, in units of the cell vectors:
Na  0.8686  0.6314  0.0000
Na  0.6314  0.1314  0.0000
Na  0.1314  0.3686  0.0000
Na  0.3686  0.8686  0.0000
Au  0.6656  0.8344  0.5000
Au  0.3344  0.1656  0.5000
Au  0.8344  0.3344  0.5000
Au  0.1656  0.6656  0.5000
Cd  0.0000  0.0000  0.0000
Cd  0.5000  0.5000  0.0000

Calculated values
- calculated density (g/cm3) = 8.30
- space-group type = P4/mbm, No. 127
- M_tot (μB/cell) = 0.0
- crystal system = tetragonal

Run B
VASP calculation (PBE) on crystalline Na2CdAu2 at its relaxed geometry.

Cell lengths 4.8156, 5.5724, 5.7944 Å; angles 118.74, 114.55, 90.00 degrees
Sites, in units of the cell vectors:
Au  0.5000  0.7412  0.0000
Au  0.5000  0.2588  0.0000
Na  0.8051  0.3051  0.6102
Na  0.1949  0.6949  0.3898
Cd  0.0000  0.0000  0.0000

Calculated values
- calculated density (g/cm3) = 7.64
- space-group type = Immm, No. 71
- M_tot (μB/cell) = 0.0
- crystal system = orthorhombic

Which structure is the most stable? The one labeled run B.

Run A
VASP calculation (PBE) on crystalline Na5Cd2Au2 at its relaxed geometry.

Cell lengths 7.6429, 7.6956, 9.2411 Å; angles 114.61, 90.00, 90.00 degrees
Sites, in units of the cell vectors:
Cd  0.0000  0.2235  0.4471
Cd  0.5000  0.7235  0.4471
Cd  0.5000  0.2765  0.5529
Cd  0.0000  0.7765  0.5529
Na  0.8258  0.7976  0.2448
Na  0.1742  0.2024  0.7552
Na  0.3258  0.9472  0.2448
Na  0.6742  0.0528  0.7552
Na  0.0000  0.0000  0.0000
Na  0.5000  0.5000  0.0000
Na  0.3258  0.7024  0.7552
Na  0.6742  0.2976  0.2448
Na  0.8258  0.5528  0.7552
Na  0.1742  0.4472  0.2448
Au  0.8726  0.3723  0.0000
Au  0.6274  0.8723  0.0000
Au  0.1274  0.6277  0.0000
Au  0.3726  0.1277  0.0000

Calculated values
- calculated density (g/cm3) = 4.93
- space-group type = Cmce, No. 64
- M_tot (μB/cell) = 0.0
- crystal system = orthorhombic

Run B
VASP calculation (PBE) on crystalline Na5Cd2Au2 at its relaxed geometry.

Cell lengths 6.2346, 8.0851, 10.7589 Å; angles 112.07, 106.84, 90.00 degrees
Sites, in units of the cell vectors:
Au  0.0000  0.8808  0.0000
Au  0.3011  0.4124  0.5000
Au  0.6989  0.9124  0.5000
Au  0.5000  0.3808  0.0000
Cd  0.6003  0.0117  0.8879
Cd  0.3997  0.1238  0.1121
Cd  0.2125  0.6238  0.1121
Cd  0.7875  0.5117  0.8879
Na  0.7225  0.8070  0.1813
Na  0.2761  0.0209  0.3292
Na  0.1577  0.7618  0.5000
Na  0.7239  0.6918  0.6708
Na  0.4469  0.1918  0.6708
Na  0.5531  0.5209  0.3292
Na  0.0412  0.1257  0.8187
Na  0.9588  0.3070  0.1813
Na  0.2775  0.6257  0.8187
Na  0.8423  0.2618  0.5000

Calculated values
- calculated density (g/cm3) = 5.10
- space-group type = Ima2, No. 46
- M_tot (μB/cell) = 0.0
- crystal system = orthorhombic

Which structure is the most stable? The one labeled run B.

Run A
VASP calculation (PBE) on crystalline Na4Cd2Au at its relaxed geometry.

Cell lengths 6.3288, 7.7686, 9.3825 Å; angles 73.22, 69.22, 63.91 degrees
Sites, in units of the cell vectors:
Na  0.2774  0.6790  0.3370
Na  0.3462  0.6469  0.7661
Na  0.7903  0.1322  0.8606
Na  0.7227  0.6205  0.0023
Na  0.2943  0.0703  0.9129
Na  0.7805  0.6183  0.3898
Na  0.8486  0.1294  0.2478
Na  0.2240  0.1037  0.4837
Au  0.0424  0.7777  0.0752
Au  0.5283  0.9724  0.1749
Cd  0.5553  0.2937  0.5690
Cd  0.2866  0.3751  0.1247
Cd  0.0167  0.4559  0.6810
Cd  0.7866  0.8749  0.6249

Calculated values
- calculated density (g/cm3) = 4.46
- space-group type = P1, No. 1
- M_tot (μB/cell) = 0.0
- crystal system = triclinic

Run B
VASP calculation (PBE) on crystalline Na4Cd2Au at its relaxed geometry.

Cell lengths 5.5793, 5.5793, 8.6153 Å; angles 108.89, 108.89, 90.00 degrees
Sites, in units of the cell vectors:
Cd  0.6068  0.6068  0.2137
Cd  0.3932  0.3932  0.7863
Na  0.8107  0.8107  0.6214
Na  0.5000  0.0000  0.0000
Na  0.0000  0.5000  0.0000
Na  0.1893  0.1893  0.3786
Au  0.0000  0.0000  0.0000

Calculated values
- calculated density (g/cm3) = 3.58
- space-group type = I4/mmm, No. 139
- M_tot (μB/cell) = 0.0
- crystal system = tetragonal

Which structure is the most stable? The one labeled run A.

Run A
VASP calculation (PBE) on crystalline NaCdPdAu at its relaxed geometry.

Cell lengths 4.7493, 4.8351, 5.4160 Å; angles 91.07, 90.00, 119.41 degrees
Sites, in units of the cell vectors:
Na  0.0826  0.1653  0.8502
Cd  0.8582  0.7163  0.3459
Au  0.1953  0.3906  0.3531
Pd  0.5262  0.0525  0.3494

Calculated values
- calculated density (g/cm3) = 6.73
- space-group type = Cm, No. 8
- M_tot (μB/cell) = 0.0
- crystal system = monoclinic

Run B
VASP calculation (PBE) on crystalline NaCdPdAu at its relaxed geometry.

Cell lengths 4.7299, 4.7299, 4.7299 Å; angles 60.00, 60.00, 60.00 degrees
Sites, in units of the cell vectors:
Na  0.2500  0.2500  0.2500
Pd  0.5000  0.5000  0.5000
Cd  0.7500  0.7500  0.7500
Au  0.0000  0.0000  0.0000

Calculated values
- calculated density (g/cm3) = 9.74
- space-group type = F-43m, No. 216
- M_tot (μB/cell) = 0.0
- crystal system = cubic

Which structure is the most stable? The one labeled run B.

Run A
VASP calculation (PBE) on crystalline RbNaCdAu at its relaxed geometry.

Cell lengths 5.6989, 5.6989, 5.6989 Å; angles 60.00, 60.00, 60.00 degrees
Sites, in units of the cell vectors:
Na  0.5000  0.5000  0.5000
Cd  0.7500  0.7500  0.7500
Rb  0.0000  0.0000  0.0000
Au  0.2500  0.2500  0.2500

Calculated values
- calculated density (g/cm3) = 5.30
- space-group type = F-43m, No. 216
- M_tot (μB/cell) = 0.0
- crystal system = cubic

Run B
VASP calculation (PBE) on crystalline RbNaCdAu at its relaxed geometry.

Cell lengths 4.9971, 4.9942, 7.0188 Å; angles 111.00, 90.00, 120.02 degrees
Sites, in units of the cell vectors:
Rb  0.6270  0.2541  0.5254
Au  0.4280  0.8561  0.9254
Cd  0.0908  0.1816  0.9145
Na  0.8204  0.6409  0.1021

Calculated values
- calculated density (g/cm3) = 5.03
- space-group type = Cm, No. 8
- M_tot (μB/cell) = 0.0
- crystal system = monoclinic

Which structure is the most stable? The one labeled run B.

Run A
VASP calculation (PBE) on crystalline RbNaCd2Au at its relaxed geometry.

Cell lengths 5.4304, 5.4304, 5.7181 Å; angles 90.00, 90.00, 90.00 degrees
Sites, in units of the cell vectors:
Rb  0.5000  0.5000  0.5000
Cd  0.5000  0.0000  0.0000
Cd  0.0000  0.5000  0.0000
Na  0.0000  0.0000  0.5000
Au  0.0000  0.0000  0.0000

Calculated values
- calculated density (g/cm3) = 5.22
- space-group type = P4/mmm, No. 123
- M_tot (μB/cell) = 0.0
- crystal system = tetragonal

Run B
VASP calculation (PBE) on crystalline RbNaCd2Au at its relaxed geometry.

Cell lengths 5.0502, 4.7215, 7.3031 Å; angles 108.86, 110.23, 90.00 degrees
Sites, in units of the cell vectors:
Au  0.8291  0.8291  0.6583
Rb  0.4359  0.4359  0.8717
Na  0.2058  0.7058  0.4116
Cd  0.0470  0.0470  0.0941
Cd  0.6943  0.1943  0.3887

Calculated values
- calculated density (g/cm3) = 5.74
- space-group type = Imm2, No. 44
- M_tot (μB/cell) = 0.0
- crystal system = orthorhombic

Which structure is the most stable? The one labeled run B.

Run A
VASP calculation (PBE) on crystalline NbCd3Au at its relaxed geometry.

Cell lengths 5.1695, 5.1695, 5.1695 Å; angles 90.00, 90.00, 90.00 degrees
Last column: magnetic moment on the atom in μB.
Sites, in units of the cell vectors:
Cd  0.5000  0.0000  0.0000  -0.01
Cd  0.0000  0.5000  0.0000  -0.02
Cd  0.0000  0.0000  0.5000  -0.02
Nb  0.5000  0.5000  0.5000  2.73
Au  0.0000  0.0000  0.0000  0.01

Calculated values
- calculated density (g/cm3) = 7.54
- space-group type = Pm-3m, No. 221
- M_tot (μB/cell) = 3.6
- crystal system = cubic

Run B
VASP calculation (PBE) on crystalline NbCd3Au at its relaxed geometry.

Cell lengths 5.5467, 5.5467, 5.5467 Å; angles 90.00, 90.00, 90.00 degrees
Last column: magnetic moment on the atom in μB.
Sites, in units of the cell vectors:
Cd  0.0000  0.0000  0.5000  0.03
Cd  0.5000  0.0000  0.0000  0.09
Cd  0.0000  0.5000  0.0000  0.07
Nb  0.0000  0.0000  0.0000  2.53
Au  0.5000  0.5000  0.5000  -0.02

Calculated values
- calculated density (g/cm3) = 6.10
- space-group type = Pm-3m, No. 221
- M_tot (μB/cell) = 3.6
- crystal system = cubic

Which structure is the most stable? The one labeled run A.

Run A
VASP calculation (PBE) on crystalline NbCdPdAu at its relaxed geometry.

Cell lengths 2.9526, 2.9526, 8.1466 Å; angles 90.00, 90.00, 90.00 degrees
Sites, in units of the cell vectors:
Au  0.5000  0.5000  0.8112
Cd  0.0000  0.0000  0.0807
Nb  0.0000  0.0000  0.5626
Pd  0.5000  0.5000  0.3302

Calculated values
- calculated density (g/cm3) = 11.89
- space-group type = P4mm, No. 99
- M_tot (μB/cell) = 0.0
- crystal system = tetragonal

Run B
VASP calculation (PBE) on crystalline NbCdPdAu at its relaxed geometry.

Cell lengths 4.6556, 4.6556, 4.6556 Å; angles 60.00, 60.00, 60.00 degrees
Sites, in units of the cell vectors:
Cd  0.7500  0.7500  0.7500
Nb  0.2500  0.2500  0.2500
Pd  0.5000  0.5000  0.5000
Au  0.0000  0.0000  0.0000

Calculated values
- calculated density (g/cm3) = 11.84
- space-group type = F-43m, No. 216
- M_tot (μB/cell) = 0.0
- crystal system = cubic

Which structure is the most stable? The one labeled run A.

Run A
VASP calculation (PBE) on crystalline Nd2CdAu at its relaxed geometry.

Cell lengths 5.3505, 5.3505, 5.3505 Å; angles 60.00, 60.00, 60.00 degrees
Sites, in units of the cell vectors:
Nd  0.2500  0.2500  0.2500
Nd  0.7500  0.7500  0.7500
Cd  0.0000  0.0000  0.0000
Au  0.5000  0.5000  0.5000

Calculated values
- calculated density (g/cm3) = 9.17
- space-group type = Fm-3m, No. 225
- M_tot (μB/cell) = 0.1
- crystal system = cubic

Run B
VASP calculation (PBE) on crystalline Nd2CdAu at its relaxed geometry.

Cell lengths 3.7878, 3.7878, 7.5538 Å; angles 90.00, 90.00, 90.00 degrees
Sites, in units of the cell vectors:
Cd  0.5000  0.5000  0.5000
Au  0.5000  0.5000  0.0000
Nd  0.0000  0.0000  0.2365
Nd  0.0000  0.0000  0.7635

Calculated values
- calculated density (g/cm3) = 9.16
- space-group type = P4/mmm, No. 123
- M_tot (μB/cell) = 0.0
- crystal system = tetragonal

Run C
VASP calculation (PBE) on crystalline Nd2CdAu at its relaxed geometry.

Cell lengths 4.0299, 4.0299, 9.0023 Å; angles 77.07, 77.07, 60.00 degrees
Sites, in units of the cell vectors:
Nd  0.2587  0.2587  0.2239
Nd  0.7413  0.7413  0.7761
Au  0.0000  0.0000  0.0000
Cd  0.5000  0.5000  0.5000

Calculated values
- calculated density (g/cm3) = 8.12
- space-group type = R-3m, No. 166
- M_tot (μB/cell) = 0.0
- crystal system = trigonal

Which structure is the most stable? The one labeled run B.

Run A
VASP calculation (PBE) on crystalline Nd3Cd2Au3 at its relaxed geometry.

Cell lengths 3.7207, 5.2265, 10.8355 Å; angles 103.96, 99.89, 90.00 degrees
Sites, in units of the cell vectors:
Nd  0.3704  0.3704  0.7407
Nd  0.5000  0.0000  0.0000
Nd  0.6296  0.6296  0.2593
Au  0.0000  0.5000  0.0000
Au  0.1210  0.1210  0.2420
Au  0.8790  0.8790  0.7580
Cd  0.7352  0.2352  0.4705
Cd  0.2648  0.7648  0.5295

Calculated values
- calculated density (g/cm3) = 10.30
- space-group type = Immm, No. 71
- M_tot (μB/cell) = 0.0
- crystal system = orthorhombic

Run B
VASP calculation (PBE) on crystalline Nd3Cd2Au3 at its relaxed geometry.

Cell lengths 6.0111, 8.9235, 8.9235 Å; angles 120.00, 90.00, 90.00 degrees
Sites, in units of the cell vectors:
Cd  0.0000  0.6667  0.3333
Cd  0.5000  0.6667  0.3333
Cd  0.0000  0.3333  0.6667
Cd  0.5000  0.3333  0.6667
Nd  0.2500  0.2858  0.2858
Nd  0.7500  0.2858  0.0000
Nd  0.7500  0.0000  0.2858
Nd  0.7500  0.7142  0.7142
Nd  0.2500  0.0000  0.7142
Nd  0.2500  0.7142  0.0000
Au  0.7500  0.6245  0.0000
Au  0.7500  0.3755  0.3755
Au  0.7500  0.0000  0.6245
Au  0.2500  0.6245  0.6245
Au  0.2500  0.3755  0.0000
Au  0.2500  0.0000  0.3755

Calculated values
- calculated density (g/cm3) = 10.00
- space-group type = P6_3/mcm, No. 193
- M_tot (μB/cell) = 0.0
- crystal system = hexagonal

Which structure is the most stable? The one labeled run B.